1.
## CsTlIn2 (PBE-GGA)

Data for a relaxed structure of CsTlIn2.

Cell lengths 4.032, 4.032, 9.052 Å; angles 90.00, 90.00, 90.00 degrees
Fractional positions:
In1 0.000 0.000 0.181
In2 0.000 0.000 0.819
Tl1 0.500 0.500 0.000
Cs1 0.500 0.500 0.500

Results
Its energy above the most stable polymorph in this dataset is 39 meV/atom. The calculation puts the spin magnetization at 0.000 μB per formula unit.

=====

2.
## CsTl2In2 (PBE-GGA)

Data for a relaxed structure of CsTl2In2.

Cell lengths 9.752, 9.752, 3.614 Å; angles 90.00, 90.00, 90.00 degrees
Fractional positions:
Tl1 0.639 0.139 0.000
Tl2 0.139 0.361 0.000
Tl3 0.361 0.861 0.000
Tl4 0.861 0.639 0.000
Cs1 0.500 0.500 0.000
Cs2 0.000 0.000 0.000
In1 0.148 0.648 0.500
In2 0.352 0.148 0.500
In3 0.648 0.852 0.500
In4 0.852 0.352 0.500

Results
Its energy above the most stable polymorph in this dataset is 77 meV/atom. The calculation puts the spin magnetization at 0.000 μB per formula unit.

=====

3.
## CsTlIn2 (PBE-GGA)

Data for a relaxed structure of CsTlIn2.

Cell lengths 5.716, 7.003, 7.869 Å; angles 90.00, 90.00, 114.09 degrees
Fractional positions:
In1 0.377 0.754 0.940
In2 0.623 0.246 0.440
In3 0.623 0.246 0.060
In4 0.377 0.754 0.560
Cs1 0.917 0.833 0.250
Cs2 0.083 0.167 0.750
Tl1 0.784 0.567 0.750
Tl2 0.216 0.433 0.250

Results
Its energy above the most stable polymorph in this dataset is 20 meV/atom. The calculation puts the spin magnetization at 0.000 μB per formula unit.

=====

no.,formation enthalpy at 0 K (meV per atom)
1,-31
2,-14
3,-50